Sr3SeN | Alexandria | SCAN | PBEsol geometry; crystal system = cubic; uncorrected energy = -101.50 eV per cell; ΔE_f (raw) = -1060.3 meV per atom; Fermi-level density of states = 1.5 states/eV/cell; total moment = 0.0 μB/cell
1.0
5.1007 0.0000 0.0000
0.0000 5.1007 0.0000
0.0000 0.0000 5.1007
Sr N Se
3 1 1
Direct
0.0000 0.5000 0.0000
0.0000 0.0000 0.5000
0.5000 0.0000 0.0000
0.0000 0.0000 0.0000
0.5000 0.5000 0.5000

=====

SrSeN2 | Alexandria | SCAN | PBEsol geometry; crystal system = trigonal; uncorrected energy = -56.41 eV per cell; ΔE_f (raw) = 1132.0 meV per atom; Fermi-level density of states = 2.4 states/eV/cell; total moment = 0.9 μB/cell
1.0
3.2106 0.0000 0.0000
1.6053 2.7805 0.0000
1.6053 0.9268 7.0247
N Sr Se
2 1 1
Direct
0.8847 0.8847 0.3460
0.1153 0.1153 0.6540
0.0000 0.0000 0.0000
0.5000 0.5000 0.5000

=====

SrWSeN2 | Alexandria | SCAN | PBEsol geometry; crystal system = tetragonal; uncorrected energy = -133.40 eV per cell; ΔE_f (raw) = -556.0 meV per atom; Fermi-level density of states = 1.2 states/eV/cell; total moment = 0.0 μB/cell
1.0
-0.8234 -2.7479 -2.8307
0.9925 -2.9429 2.5682
-4.7915 -0.2164 1.6038
N Se W Sr
2 1 1 1
Direct
0.5000 0.0000 0.0000
0.0000 0.5000 0.0000
0.0000 0.0000 0.5000
0.0000 0.0000 0.0000
0.5000 0.5000 0.5000